Li2Zr2Ni: optimized geometry, PBE.

Values from the calculation:
For the total magnetization, the calculation gives 0.0 μB per cell. Its energy above the most stable polymorph in this dataset is 0.0 meV per atom. The calculation puts the energy of formation from the pure elements at 1.07 eV per formula unit.

abc: 5.999 5.999 4.620
angles: 90.00 90.00 90.00
Element x y z (fractional)
Li1 0.135 0.365 0.000
Li2 0.365 0.865 0.000
Li3 0.635 0.135 0.000
Li4 0.865 0.635 0.000
Zr1 0.180 0.680 0.500
Zr2 0.320 0.180 0.500
Zr3 0.680 0.820 0.500
Zr4 0.820 0.320 0.500
Ni1 0.000 0.000 0.000
Ni2 0.500 0.500 0.000

***

Li2ZrNi9: optimized geometry, PBE.

Values from the calculation:
For the total magnetization, the calculation gives 1.5 μB per cell. The calculation puts the energy of formation from the pure elements at -1.74 eV per formula unit.

abc: 8.271 8.271 8.271
angles: 33.29 33.29 33.29
Element x y z (fractional)
Li1 0.145 0.145 0.145
Li2 0.855 0.855 0.855
Zr1 0.000 0.000 0.000
Ni1 0.082 0.586 0.586
Ni2 0.334 0.334 0.334
Ni3 0.414 0.414 0.918
Ni4 0.414 0.918 0.414
Ni5 0.500 0.500 0.500
Ni6 0.586 0.082 0.586
Ni7 0.586 0.586 0.082
Ni8 0.666 0.666 0.666
Ni9 0.918 0.414 0.414

***

LiZrNi: optimized geometry, PBE.

Values from the calculation:
For the total magnetization, the calculation gives 0.0 μB per cell. Its energy above the most stable polymorph in this dataset is 331.1 meV per atom. The calculation puts the energy of formation from the pure elements at 0.45 eV per formula unit.

abc: 4.244 4.244 4.244
angles: 60.00 60.00 60.00
Element x y z (fractional)
Li1 0.000 0.000 0.000
Zr1 0.500 0.500 0.500
Ni1 0.750 0.750 0.750

***

| no. | volume (Å³ per cell) |
| --- | --- |
| 1 | 166.3 |
| 2 | 151.7 |
| 3 | 54.1 |